Here is a relaxed DyHgAu crystal from the Alexandria database. Energies are from PBE-GGA.

a b c (Å): 5.388 5.388 5.388
angles (deg): 138.32 138.32 60.41
Fractional positions:
Dy 0.000 0.000 0.000
Hg 0.674 0.674 0.000
Au 0.341 0.341 0.000

total magnetization	0.00	μB/cell
space-group type	I4mm
N(E_F)	1.068	states/eV per cell
E_form	-606	meV/atom